This record from Alexandria via LeMat-Bulk describes crystalline NaAc2Tm at its relaxed geometry. The functional is PBE.

Calculated values
- Calculated volume: 38.5 Å³/atom
- DOS(E_F): 1.23 states/eV/atom
- Energy: -3.3062 eV/atom

a = 8.5100 Å, b = 8.5100 Å, c = 8.5100 Å
α = 90.00°, β = 90.00°, γ = 90.00°
Element x y z (fractional)
1 Na 0.0000 0.0000 0.0000
2 Na 0.0000 0.5000 0.5000
3 Na 0.5000 0.0000 0.5000
4 Na 0.5000 0.5000 0.0000
5 Ac 0.2500 0.2500 0.2500
6 Ac 0.2500 0.2500 0.7500
7 Ac 0.2500 0.7500 0.2500
8 Ac 0.2500 0.7500 0.7500
9 Ac 0.7500 0.2500 0.2500
10 Ac 0.7500 0.2500 0.7500
11 Ac 0.7500 0.7500 0.2500
12 Ac 0.7500 0.7500 0.7500
13 Tm 0.0000 0.0000 0.5000
14 Tm 0.0000 0.5000 0.0000
15 Tm 0.5000 0.0000 0.0000
16 Tm 0.5000 0.5000 0.5000

=====

This record from Alexandria via LeMat-Bulk describes crystalline NaAc2Tm at its relaxed geometry. The functional is PBE.

Calculated values
- Calculated volume: 41.5 Å³/atom
- DOS(E_F): 1.12 states/eV/atom
- Energy: -3.3455 eV/atom

a = 3.7935 Å, b = 3.7935 Å, c = 39.9197 Å
α = 90.00°, β = 90.00°, γ = 120.00°
Element x y z (fractional)
1 Na 0.0000 0.0000 0.0000
2 Na 0.3333 0.6667 0.6667
3 Na 0.6667 0.3333 0.3333
4 Ac 0.0000 0.0000 0.0930
5 Ac 0.0000 0.0000 0.9070
6 Ac 0.3333 0.6667 0.5736
7 Ac 0.3333 0.6667 0.7597
8 Ac 0.6667 0.3333 0.2403
9 Ac 0.6667 0.3333 0.4264
10 Tm 0.0000 0.0000 0.5000
11 Tm 0.3333 0.6667 0.1667
12 Tm 0.6667 0.3333 0.8333

=====

Q: Which of these has the highest DOS(E_F)?
A: number 1